Computed, not measured: crystalline Ba2NaSbF at its relaxed geometry at the GGA-PBE level of DFT.

Calculated values
Calculated density ... 4.782 g/cm3
Crystal system ... tetragonal
Size of the total moment ... 0.000 μB/atom
Total DFT energy (no corrections) ... -18.838 eV for the cell shown
Uncorrected formation energy ... -1.54 eV/atom

Lattice parameters (Å, degrees): 5.6142 5.6142 4.8299 90.00 90.00 90.00
Positions (direct):
Sb 0.5000 0.5000 0.5000
F 0.0000 0.0000 0.0000
Ba 0.0000 0.5000 0.0000
Ba 0.5000 0.0000 0.0000
Na 0.0000 0.0000 0.5000